<a>
DFT (PBE) results for YMg6C after structural relaxation.

a = 4.7332 Å, b = 7.3431 Å, c = 7.3431 Å
α = 49.82°, β = 90.00°, γ = 90.00°
Positions (direct):
Y1 0.0000 0.0000 0.0000
Mg1 0.0000 0.0349 0.5302
Mg2 0.0000 0.5302 0.0349
Mg3 0.0000 0.5744 0.5744
Mg4 0.5000 0.3819 0.8979
Mg5 0.5000 0.4134 0.4134
Mg6 0.5000 0.8979 0.3819
C1 0.5000 0.0241 0.0241

Results
space-group type: Amm2, No. 38

***

<b>
DFT (PBE) results for YMg6C after structural relaxation.

a = 4.5681 Å, b = 7.2193 Å, c = 7.2193 Å
α = 45.65°, β = 90.00°, γ = 90.00°
Positions (direct):
Y1 0.0000 0.0000 0.0000
Mg1 0.0000 0.0067 0.5033
Mg2 0.0000 0.5033 0.0067
Mg3 0.5000 0.1500 0.6242
Mg4 0.5000 0.1592 0.1592
Mg5 0.5000 0.5985 0.5985
Mg6 0.5000 0.6242 0.1500
C1 0.0000 0.3986 0.3986

Results
space-group type: Amm2, No. 38

***

Q: Which of them is the most stable? A: <a>.